{"formula": "PtSeS2", "functional": "GGA-PBE", "state": "relaxed", "total_energy_ev_per_atom": -4.5010, "raw_formation_energy_mev_per_atom": -56, "vol_a3_per_atom": 21.1, "lattice": [[3.681, 0.000, 0.000], [-1.841, 3.188, 0.000], [0.000, 0.000, 21.584]], "species": ["Pt", "Pt", "Pt", "Se", "Se", "Se", "S", "S", "S", "S", "S", "S"], "fractional_positions": [[0.000, 0.000, 0.000], [0.333, 0.667, 0.667], [0.667, 0.333, 0.333], [0.000, 0.000, 0.500], [0.333, 0.667, 0.167], [0.667, 0.333, 0.833], [0.000, 0.000, 0.389], [0.000, 0.000, 0.611], [0.333, 0.667, 0.056], [0.333, 0.667, 0.277], [0.667, 0.333, 0.723], [0.667, 0.333, 0.944]]}


{"formula": "Sm6PtSe2S3", "functional": "GGA-PBE", "state": "relaxed", "total_energy_ev_per_atom": -6.2772, "raw_formation_energy_mev_per_atom": -1802, "vol_a3_per_atom": 24.4, "lattice": [[8.976, -2.018, 0.000], [8.976, 2.018, 0.000], [-1.890, 0.000, 8.079]], "species": ["Sm", "Sm", "Sm", "Sm", "Sm", "Sm", "Pt", "Se", "Se", "S", "S", "S"], "fractional_positions": [[0.002, 0.002, 0.255], [0.332, 0.332, 0.425], [0.337, 0.337, 0.907], [0.663, 0.663, 0.093], [0.668, 0.668, 0.575], [0.998, 0.998, 0.745], [0.500, 0.500, 0.500], [0.168, 0.168, 0.837], [0.832, 0.832, 0.163], [0.168, 0.168, 0.334], [0.500, 0.500, 0.000], [0.832, 0.832, 0.666]]}


{"formula": "Sm4PtSe2S", "functional": "GGA-PBE", "state": "relaxed", "total_energy_ev_per_atom": -6.1983, "raw_formation_energy_mev_per_atom": -1697, "vol_a3_per_atom": 25.3, "lattice": [[7.226, 0.000, 0.000], [0.000, 4.077, 0.000], [-2.391, 0.000, 6.871]], "species": ["Sm", "Sm", "Sm", "Sm", "Pt", "Se", "Se", "S"], "fractional_positions": [[0.242, 0.000, 0.234], [0.257, 0.500, 0.761], [0.743, 0.500, 0.239], [0.758, 0.000, 0.766], [0.000, 0.500, 0.000], [0.000, 0.000, 0.500], [0.500, 0.500, 0.500], [0.500, 0.000, 0.000]]}


{"formula": "Sm4PtSeS2", "functional": "GGA-PBE", "state": "relaxed", "total_energy_ev_per_atom": -6.3122, "raw_formation_energy_mev_per_atom": -1730, "vol_a3_per_atom": 24.4, "lattice": [[7.149, 0.000, 0.000], [0.000, 4.036, 0.000], [-2.335, 0.000, 6.771]], "species": ["Sm", "Sm", "Sm", "Sm", "Pt", "Se", "S", "S"], "fractional_positions": [[0.238, 0.000, 0.243], [0.248, 0.500, 0.756], [0.752, 0.500, 0.244], [0.762, 0.000, 0.757], [0.500, 0.000, 0.000], [0.500, 0.500, 0.500], [0.000, 0.000, 0.500], [0.000, 0.500, 0.000]]}


{"formula": "Sm6Pt2Se3S", "functional": "GGA-PBE", "state": "relaxed", "total_energy_ev_per_atom": -6.1927, "raw_formation_energy_mev_per_atom": -1611, "vol_a3_per_atom": 25.7, "lattice": [[9.225, -2.041, 0.000], [9.225, 2.041, 0.000], [-2.259, 0.000, 8.194]], "species": ["Sm", "Sm", "Sm", "Sm", "Sm", "Sm", "Pt", "Pt", "Se", "Se", "Se", "S"], "fractional_positions": [[0.004, 0.004, 0.244], [0.332, 0.332, 0.420], [0.335, 0.335, 0.899], [0.665, 0.665, 0.101], [0.668, 0.668, 0.580], [0.996, 0.996, 0.756], [0.167, 0.167, 0.338], [0.833, 0.833, 0.662], [0.163, 0.163, 0.841], [0.500, 0.500, 0.500], [0.837, 0.837, 0.159], [0.500, 0.500, 0.000]]}


{"formula": "Sm6PtSe3S2", "functional": "GGA-PBE", "state": "relaxed", "total_energy_ev_per_atom": -6.2030, "raw_formation_energy_mev_per_atom": -1781, "vol_a3_per_atom": 24.9, "lattice": [[9.068, -2.028, 0.000], [9.068, 2.028, 0.000], [-1.998, 0.000, 8.139]], "species": ["Sm", "Sm", "Sm", "Sm", "Sm", "Sm", "Pt", "Se", "Se", "Se", "S", "S"], "fractional_positions": [[0.003, 0.003, 0.240], [0.330, 0.330, 0.428], [0.334, 0.334, 0.905], [0.666, 0.666, 0.095], [0.670, 0.670, 0.572], [0.997, 0.997, 0.760], [0.500, 0.500, 0.000], [0.167, 0.167, 0.831], [0.500, 0.500, 0.500], [0.833, 0.833, 0.169], [0.168, 0.168, 0.335], [0.832, 0.832, 0.665]]}


{"formula": "Tb8Pt3Se4S", "functional": "GGA-PBE", "state": "relaxed", "total_energy_ev_per_atom": -6.1525, "raw_formation_energy_mev_per_atom": -1576, "vol_a3_per_atom": 24.6, "lattice": [[4.037, 2.331, 6.979], [-4.037, 2.331, 6.979], [0.000, -4.661, 6.979]], "species": ["Tb", "Tb", "Tb", "Tb", "Tb", "Tb", "Tb", "Tb", "Pt", "Pt", "Pt", "Se", "Se", "Se", "Se", "S"], "fractional_positions": [[0.241, 0.747, 0.747], [0.243, 0.243, 0.243], [0.253, 0.253, 0.759], [0.253, 0.759, 0.253], [0.747, 0.241, 0.747], [0.747, 0.747, 0.241], [0.757, 0.757, 0.757], [0.759, 0.253, 0.253], [0.000, 0.000, 0.500], [0.000, 0.500, 0.000], [0.500, 0.000, 0.000], [0.000, 0.000, 0.000], [0.000, 0.500, 0.500], [0.500, 0.000, 0.500], [0.500, 0.500, 0.000], [0.500, 0.500, 0.500]]}


{"formula": "Tb6Pt2SeS3", "functional": "GGA-PBE", "state": "relaxed", "total_energy_ev_per_atom": -6.3195, "raw_formation_energy_mev_per_atom": -1675, "vol_a3_per_atom": 23.4, "lattice": [[8.952, -1.977, 0.000], [8.952, 1.977, 0.000], [-2.225, 0.000, 7.918]], "species": ["Tb", "Tb", "Tb", "Tb", "Tb", "Tb", "Pt", "Pt", "Se", "S", "S", "S"], "fractional_positions": [[0.005, 0.005, 0.263], [0.328, 0.328, 0.894], [0.337, 0.337, 0.408], [0.663, 0.663, 0.592], [0.672, 0.672, 0.106], [0.995, 0.995, 0.737], [0.172, 0.172, 0.350], [0.828, 0.828, 0.650], [0.500, 0.500, 0.000], [0.160, 0.160, 0.847], [0.500, 0.500, 0.500], [0.840, 0.840, 0.153]]}


{"formula": "Tb4PtSeS2", "functional": "GGA-PBE", "state": "relaxed", "total_energy_ev_per_atom": -6.2667, "raw_formation_energy_mev_per_atom": -1729, "vol_a3_per_atom": 23.1, "lattice": [[7.029, 0.000, 0.000], [0.000, 3.956, 0.000], [-2.278, 0.000, 6.652]], "species": ["Tb", "Tb", "Tb", "Tb", "Pt", "Se", "S", "S"], "fractional_positions": [[0.242, 0.000, 0.239], [0.243, 0.500, 0.751], [0.757, 0.500, 0.249], [0.758, 0.000, 0.761], [0.000, 0.000, 0.500], [0.500, 0.500, 0.500], [0.000, 0.500, 0.000], [0.500, 0.000, 0.000]]}


{"formula": "Tb8PtSe3S4", "functional": "GGA-PBE", "state": "relaxed", "total_energy_ev_per_atom": -6.2029, "raw_formation_energy_mev_per_atom": -1825, "vol_a3_per_atom": 23.0, "lattice": [[4.021, 2.322, 6.575], [-4.021, 2.322, 6.575], [0.000, -4.643, 6.575]], "species": ["Tb", "Tb", "Tb", "Tb", "Tb", "Tb", "Tb", "Tb", "Pt", "Se", "Se", "Se", "S", "S", "S", "S"], "fractional_positions": [[0.238, 0.751, 0.751], [0.243, 0.243, 0.243], [0.249, 0.249, 0.762], [0.249, 0.762, 0.249], [0.751, 0.238, 0.751], [0.751, 0.751, 0.238], [0.757, 0.757, 0.757], [0.762, 0.249, 0.249], [0.000, 0.000, 0.000], [0.000, 0.500, 0.500], [0.500, 0.000, 0.500], [0.500, 0.500, 0.000], [0.000, 0.000, 0.500], [0.000, 0.500, 0.000], [0.500, 0.000, 0.000], [0.500, 0.500, 0.500]]}


{"formula": "Tb4PtSe2S", "functional": "GGA-PBE", "state": "relaxed", "total_energy_ev_per_atom": -6.1501, "raw_formation_energy_mev_per_atom": -1693, "vol_a3_per_atom": 24.0, "lattice": [[7.114, 0.000, 0.000], [0.000, 4.000, 0.000], [-2.338, 0.000, 6.759]], "species": ["Tb", "Tb", "Tb", "Tb", "Pt", "Se", "Se", "S"], "fractional_positions": [[0.240, 0.000, 0.232], [0.256, 0.500, 0.763], [0.744, 0.500, 0.237], [0.760, 0.000, 0.768], [0.000, 0.500, 0.000], [0.000, 0.000, 0.500], [0.500, 0.500, 0.500], [0.500, 0.000, 0.000]]}


{"formula": "Th6PtSe2S3", "functional": "GGA-PBE", "state": "relaxed", "total_energy_ev_per_atom": -7.4401, "raw_formation_energy_mev_per_atom": -1614, "vol_a3_per_atom": 25.1, "lattice": [[3.599, -6.215, 0.000], [3.599, 6.215, 0.000], [-2.392, 0.000, 6.743]], "species": ["Th", "Th", "Th", "Th", "Th", "Th", "Pt", "Se", "Se", "S", "S", "S"], "fractional_positions": [[0.088, 0.413, 0.763], [0.239, 0.239, 0.236], [0.413, 0.088, 0.763], [0.587, 0.912, 0.237], [0.761, 0.761, 0.764], [0.912, 0.587, 0.237], [0.000, 0.000, 0.500], [0.333, 0.667, 0.500], [0.667, 0.333, 0.500], [0.168, 0.832, 0.000], [0.500, 0.500, 0.000], [0.832, 0.168, 0.000]]}


{"formula": "Th6Pt3SeS2", "functional": "GGA-PBE", "state": "relaxed", "total_energy_ev_per_atom": -7.6041, "raw_formation_energy_mev_per_atom": -1406, "vol_a3_per_atom": 26.2, "lattice": [[9.258, -2.066, 0.000], [9.258, 2.066, 0.000], [-2.391, 0.000, 8.207]], "species": ["Th", "Th", "Th", "Th", "Th", "Th", "Pt", "Pt", "Pt", "Se", "S", "S"], "fractional_positions": [[0.001, 0.001, 0.239], [0.328, 0.328, 0.419], [0.333, 0.333, 0.917], [0.667, 0.667, 0.083], [0.672, 0.672, 0.581], [0.999, 0.999, 0.761], [0.165, 0.165, 0.331], [0.500, 0.500, 0.000], [0.835, 0.835, 0.669], [0.500, 0.500, 0.500], [0.166, 0.166, 0.830], [0.834, 0.834, 0.170]]}


{"formula": "Th4PtSeS2", "functional": "GGA-PBE", "state": "relaxed", "total_energy_ev_per_atom": -7.5102, "raw_formation_energy_mev_per_atom": -1578, "vol_a3_per_atom": 25.2, "lattice": [[7.195, 0.000, 0.000], [0.000, 4.084, 0.000], [-2.382, 0.000, 6.873]], "species": ["Th", "Th", "Th", "Th", "Pt", "Se", "S", "S"], "fractional_positions": [[0.236, 0.000, 0.242], [0.248, 0.500, 0.758], [0.752, 0.500, 0.242], [0.764, 0.000, 0.758], [0.500, 0.000, 0.000], [0.500, 0.500, 0.500], [0.000, 0.000, 0.500], [0.000, 0.500, 0.000]]}


{"formula": "Th8PtSe4S3", "functional": "GGA-PBE", "state": "relaxed", "total_energy_ev_per_atom": -7.3428, "raw_formation_energy_mev_per_atom": -1610, "vol_a3_per_atom": 25.5, "lattice": [[4.123, 2.380, 6.926], [-4.123, 2.380, 6.926], [0.000, -4.761, 6.926]], "species": ["Th", "Th", "Th", "Th", "Th", "Th", "Th", "Th", "Pt", "Se", "Se", "Se", "Se", "S", "S", "S"], "fractional_positions": [[0.242, 0.746, 0.746], [0.244, 0.244, 0.244], [0.254, 0.254, 0.758], [0.254, 0.758, 0.254], [0.746, 0.242, 0.746], [0.746, 0.746, 0.242], [0.756, 0.756, 0.756], [0.758, 0.254, 0.254], [0.500, 0.500, 0.500], [0.000, 0.000, 0.000], [0.000, 0.500, 0.500], [0.500, 0.000, 0.500], [0.500, 0.500, 0.000], [0.000, 0.000, 0.500], [0.000, 0.500, 0.000], [0.500, 0.000, 0.000]]}


{"formula": "Tl2PtSeS", "functional": "GGA-PBE", "state": "relaxed", "total_energy_ev_per_atom": -3.2917, "raw_formation_energy_mev_per_atom": 385, "vol_a3_per_atom": 33.1, "relative_energy_ev_per_atom": 0.381, "lattice": [[6.043, 0.000, 0.000], [0.000, 6.043, 0.000], [0.000, 0.000, 4.536]], "species": ["Tl", "Tl", "Pt", "Se", "S"], "fractional_positions": [[0.000, 0.500, 0.000], [0.500, 0.000, 0.000], [0.000, 0.000, 0.500], [0.000, 0.000, 0.000], [0.500, 0.500, 0.500]]}


{"formula": "Tl2PtSeS", "functional": "GGA-PBE", "state": "relaxed", "total_energy_ev_per_atom": -3.6727, "raw_formation_energy_mev_per_atom": 4, "vol_a3_per_atom": 28.2, "relative_energy_ev_per_atom": 0.000, "lattice": [[5.670, 0.000, 0.000], [0.000, 5.670, 0.000], [0.000, 0.000, 4.379]], "species": ["Tl", "Tl", "Pt", "Se", "S"], "fractional_positions": [[0.000, 0.500, 0.000], [0.500, 0.000, 0.000], [0.000, 0.000, 0.000], [0.500, 0.500, 0.500], [0.000, 0.000, 0.500]]}


{"formula": "TlPtSeS2", "functional": "GGA-PBE", "state": "relaxed", "total_energy_ev_per_atom": -3.5982, "raw_formation_energy_mev_per_atom": 431, "vol_a3_per_atom": 23.9, "lattice": [[5.045, 0.000, 0.000], [0.000, 5.045, 0.000], [0.000, 0.000, 4.687]], "species": ["Tl", "Pt", "Se", "S", "S"], "fractional_positions": [[0.000, 0.000, 0.000], [0.500, 0.500, 0.000], [0.500, 0.500, 0.500], [0.000, 0.500, 0.500], [0.500, 0.000, 0.500]]}


{"formula": "Tm6PtSe2S3", "functional": "GGA-PBE", "state": "relaxed", "total_energy_ev_per_atom": -6.0876, "raw_formation_energy_mev_per_atom": -1736, "vol_a3_per_atom": 21.8, "lattice": [[3.433, -5.949, 0.000], [3.433, 5.949, 0.000], [-2.303, 0.000, 6.414]], "species": ["Tm", "Tm", "Tm", "Tm", "Tm", "Tm", "Pt", "Se", "Se", "S", "S", "S"], "fractional_positions": [[0.083, 0.407, 0.754], [0.236, 0.236, 0.239], [0.407, 0.083, 0.754], [0.593, 0.917, 0.246], [0.764, 0.764, 0.761], [0.917, 0.593, 0.246], [0.000, 0.000, 0.500], [0.335, 0.665, 0.500], [0.665, 0.335, 0.500], [0.175, 0.825, 0.000], [0.500, 0.500, 0.000], [0.825, 0.175, 0.000]]}


{"formula": "Tm6Pt2SeS3", "functional": "GGA-PBE", "state": "relaxed", "total_energy_ev_per_atom": -6.2236, "raw_formation_energy_mev_per_atom": -1659, "vol_a3_per_atom": 22.1, "lattice": [[8.899, -1.939, 0.000], [8.899, 1.939, 0.000], [-2.433, 0.000, 7.680]], "species": ["Tm", "Tm", "Tm", "Tm", "Tm", "Tm", "Pt", "Pt", "Se", "S", "S", "S"], "fractional_positions": [[0.012, 0.012, 0.267], [0.327, 0.327, 0.874], [0.341, 0.341, 0.394], [0.659, 0.659, 0.606], [0.673, 0.673, 0.126], [0.988, 0.988, 0.733], [0.180, 0.180, 0.377], [0.820, 0.820, 0.623], [0.500, 0.500, 0.000], [0.157, 0.157, 0.860], [0.500, 0.500, 0.500], [0.843, 0.843, 0.140]]}